Record 1
A relaxed structure of Ce3Ga5Pd, computed with GGA-PBE.

abc: 8.6519 8.6519 5.9236
angles: 90.00 90.00 120.00
Space group P6_3/mcm (No. 193)
One atom of each set of equivalent atoms:
Ce 0.0000 0.3885 0.2500 x6
Ga 0.0000 0.2573 0.7500 x6
Ga 0.3333 0.6667 0.0000 x4
Pd 0.0000 0.0000 0.0000 x2

Output
calculated formation energy = -0.51 eV/atom

---

Record 2
A relaxed structure of Li2In2SiPt4, computed with GGA-PBE.

abc: 6.061 6.061 8.211
angles: 90.00 90.00 90.00
Space group I4/mmm (No. 139)
One atom of each set of equivalent atoms:
Li 0.000 0.000 0.204 x4
In 0.000 0.500 0.250 x4
Si 0.000 0.000 0.500 x2
Pt 0.234 0.234 0.000 x8

Output
total energy = -4.7765 eV/atom

---

Record 3
A relaxed structure of Pm5NdIn3, computed with GGA-PBE.

abc: 9.5937 9.5937 6.9002
angles: 90.00 90.00 120.00
Space group P6_3/mcm (No. 193)
One atom of each set of equivalent atoms:
Pm 0.0000 0.3328 0.2500 x6
Pm 0.3333 0.6667 0.0000 x4
Nd 0.0000 0.0000 0.0000 x2
In 0.0000 0.3346 0.7500 x6

Output
calculated formation energy = -0.35 eV/atom

---

Record 4
A relaxed structure of Mg5AgPt2, computed with GGA-PBE.

abc: 5.734 11.266 4.354
angles: 90.00 90.00 90.00
Space group Pbam (No. 55)
One atom of each set of equivalent atoms:
Mg 0.000 0.000 0.000 x2
Mg 0.082 0.260 0.000 x4
Mg 0.197 0.613 0.500 x4
Ag 0.000 0.500 0.000 x2
Pt 0.182 0.863 0.500 x4

Output
calculated formation energy = -0.53 eV/atom

---

Record 5
A relaxed structure of MnAg2Cl4, computed with GGA-PBE.

abc: 7.923 7.923 10.912
angles: 90.00 90.00 90.00
Space group P4_122 (No. 91)
One atom of each set of equivalent atoms:
Mn 0.000 0.249 0.000 x4
Ag 0.252 0.252 0.375 x4
Ag 0.254 0.500 0.750 x4
Cl 0.016 0.230 0.767 x8
Cl 0.229 0.467 0.004 x8

Output
total energy = -3.8931 eV/atom

---

Record 6
A relaxed structure of Nd3Er3Tm5, computed with GGA-PBE.

abc: 9.6086 9.6086 5.3879
angles: 90.00 90.00 120.00
Space group P-62m (No. 189)
One atom of each set of equivalent atoms:
Nd 0.0000 0.3680 0.0000 x3
Er 0.0000 0.5508 0.5000 x3
Tm 0.0000 0.7374 0.0000 x3
Tm 0.3333 0.6667 0.0000 x2

Output
calculated formation energy = 0.83 eV/atom

---

Record 7
A relaxed structure of Cd10Hg6Au, computed with GGA-PBE.

abc: 8.8388 8.8388 5.9551
angles: 90.00 90.00 120.00
Space group P-31m (No. 162)
One atom of each set of equivalent atoms:
Cd 0.0000 0.2527 0.2908 x6
Cd 0.3333 0.6667 0.0000 x2
Cd 0.3333 0.6667 0.5000 x2
Hg 0.0000 0.3899 0.7681 x6
Au 0.0000 0.0000 0.0000 x1

Output
calculated formation energy = 0.02 eV/atom

---

Record 8
A relaxed structure of InPb3Au, computed with GGA-PBE.

abc: 9.524 6.997 8.683
angles: 90.00 102.92 90.00
Space group P2_1/c (No. 14)
One atom of each set of equivalent atoms:
In 0.007 0.221 0.002 x4
Pb 0.204 0.505 0.271 x4
Pb 0.209 0.508 0.835 x4
Pb 0.447 0.714 0.615 x4
Au 0.336 0.200 0.086 x4

Output
calculated formation energy = -0.03 eV/atom
energy above the most stable polymorph in this dataset = 0 meV per atom

---

Record 9
A relaxed structure of Tl4RuBr, computed with GGA-PBE.

abc: 8.891 8.891 8.891
angles: 90.00 90.00 90.00
Space group F-43m (No. 216)
One atom of each set of equivalent atoms:
Tl 0.125 0.125 0.125 x16
Ru 0.000 0.000 0.500 x4
Br 0.250 0.250 0.750 x4

Output
total energy = -2.7394 eV/atom

---

Record 10
A relaxed structure of IrOs2W, computed with GGA-PBE.

abc: 2.757 4.631 4.788
angles: 90.00 90.74 90.00
Space group P2/m (No. 10)
One atom of each set of equivalent atoms:
Ir 0.000 0.000 0.000 x1
Os 0.174 0.500 0.746 x2
W 0.500 0.000 0.500 x1

Output
calculated formation energy = 0.37 eV/atom
energy above the most stable polymorph in this dataset = 492 meV per atom

---

Number 1: magnetization 3.09 μB per cell. Number 2: magnetization 0.00 μB per cell. Number 3: magnetization 2.42 μB per cell. Number 4: magnetization 0.00 μB per cell. Number 5: magnetization 19.99 μB per cell. Number 6: magnetization 0.00 μB per cell. Number 7: magnetization 0.00 μB per cell. Number 8: magnetization 0.00 μB per cell. Number 9: magnetization 8.67 μB per cell. Number 10: magnetization 0.00 μB per cell.